First-principles (PBE) data for a geometry-optimized CaZnAg11 structure, as listed in Alexandria via LeMat-Bulk.

Unit cell a=7.2867 b=7.2867 c=7.2413 alpha=97.48 beta=97.48 gamma=136.04
Last column: nearest neighbours and their distance in Å.
Element x y z (fractional)
Ca: 0.0000 0.0000 0.0000  18 Ag 3.37-3.64, 2 Zn 3.70
Zn: 0.5000 0.5000 0.5000  10 Ag 2.68-2.95
Ag: 0.0000 0.0000 0.5000  2 Zn 2.73, 8 Ag 2.81-2.88
Ag: 0.0000 0.5000 0.0000  10 Ag 2.73-2.94
Ag: 0.0084 0.6570 0.6472  8 Ag 2.84-3.07, 1 Zn 2.95
Ag: 0.2949 0.5082 0.7789  1 Zn 2.68, 6 Ag 2.79-3.00
Ag: 0.3430 0.9916 0.3528  8 Ag 2.84-3.07, 1 Zn 2.95
Ag: 0.4918 0.7051 0.2211  1 Zn 2.68, 6 Ag 2.79-3.00
Ag: 0.5000 0.0000 0.0000  10 Ag 2.73-2.94
Ag: 0.5082 0.2949 0.7789  1 Zn 2.68, 6 Ag 2.79-3.00
Ag: 0.6570 0.0084 0.6472  8 Ag 2.84-3.07, 1 Zn 2.95
Ag: 0.7051 0.4918 0.2211  1 Zn 2.68, 6 Ag 2.79-3.00
Ag: 0.9916 0.3430 0.3528  8 Ag 2.84-3.07, 1 Zn 2.95

Output
V   19.25 Å³/atom
DOS at the Fermi energy   0.357 states/eV per atom
ΔE_f   -0.06 eV per atom
Symmetry   C2/m (12)

First-principles (PBE) data for a geometry-optimized CaZnAg2 structure, as listed in Alexandria via LeMat-Bulk.

Unit cell a=5.2155 b=5.2155 c=5.2155 alpha=130.54 beta=128.91 gamma=73.86
Last column: nearest neighbours and their distance in Å.
Element x y z (fractional)
Ca: 0.0000 0.0000 0.0000  4 Zn 3.04, 8 Ag 3.04-3.13
Zn: 0.2538 0.7538 0.5000  8 Ag 2.96-3.13, 4 Ca 3.04
Ag: 0.4942 0.4942 0.0000  4 Zn 2.96-3.12, 4 Ag 3.03-3.06, 4 Ca 3.13
Ag: 0.7458 0.2458 0.5000  4 Ag 3.03-3.06, 4 Ca 3.04, 4 Zn 3.13

Output
V   20.46 Å³/atom
DOS at the Fermi energy   0.453 states/eV per atom
ΔE_f   -0.17 eV per atom
Symmetry   Imm2 (44)

First-principles (PBE) data for a geometry-optimized Ca2Zn15Ag2 structure, as listed in Alexandria via LeMat-Bulk.

Unit cell a=6.8907 b=6.8907 c=6.8907 alpha=82.97 beta=82.97 gamma=82.97
Last column: nearest neighbours and their distance in Å.
Element x y z (fractional)
Ca: 0.1584 0.1584 0.1584  1 Ag 3.13, 15 Zn 3.22-3.45
Ca: 0.8416 0.8416 0.8416  1 Ag 3.13, 15 Zn 3.22-3.45
Zn: 0.0000 0.5000 0.5000  8 Zn 2.61-2.67, 2 Ag 2.75
Zn: 0.1495 0.1495 0.6597  8 Zn 2.61-2.78, 1 Ag 2.86
Zn: 0.1495 0.6597 0.1495  8 Zn 2.61-2.78, 1 Ag 2.86
Zn: 0.2041 0.5000 0.7959  8 Zn 2.61-2.78
Zn: 0.2041 0.7959 0.5000  8 Zn 2.61-2.78
Zn: 0.3403 0.8505 0.8505  8 Zn 2.61-2.78, 1 Ag 2.86
Zn: 0.5000 0.0000 0.5000  8 Zn 2.61-2.67, 2 Ag 2.75
Zn: 0.5000 0.2041 0.7959  8 Zn 2.61-2.78
Zn: 0.5000 0.5000 0.0000  8 Zn 2.61-2.67, 2 Ag 2.75
Zn: 0.5000 0.7959 0.2041  8 Zn 2.61-2.78
Zn: 0.6597 0.1495 0.1495  8 Zn 2.61-2.78, 1 Ag 2.86
Zn: 0.7959 0.2041 0.5000  8 Zn 2.61-2.78
Zn: 0.7959 0.5000 0.2041  8 Zn 2.61-2.78
Zn: 0.8505 0.3403 0.8505  8 Zn 2.61-2.78, 1 Ag 2.86
Zn: 0.8505 0.8505 0.3403  8 Zn 2.61-2.78, 1 Ag 2.86
Ag: 0.3936 0.3936 0.3936  12 Zn 2.75-3.05, 1 Ag 2.83
Ag: 0.6064 0.6064 0.6064  12 Zn 2.75-3.05, 1 Ag 2.83

Output
V   16.86 Å³/atom
DOS at the Fermi energy   0.306 states/eV per atom
ΔE_f   -0.18 eV per atom
Symmetry   R-3m (166)

First-principles (PBE) data for a geometry-optimized Ca4ZnAg structure, as listed in Alexandria via LeMat-Bulk.

Unit cell a=6.6748 b=6.6748 c=6.6748 alpha=60.00 beta=60.00 gamma=60.00
Last column: nearest neighbours and their distance in Å.
Element x y z (fractional)
Ca: 0.1250 0.1250 0.1250  6 Ca 3.34
Ca: 0.1250 0.1250 0.6249  6 Ca 3.34
Ca: 0.1250 0.6249 0.1250  6 Ca 3.34
Ca: 0.6249 0.1250 0.1250  6 Ca 3.34
Zn: 0.7500 0.7500 0.7500  12 Ca 3.91, 4 Ag 4.09
Ag: 0.5000 0.5000 0.5000  12 Ca 3.91, 4 Zn 4.09

Output
V   35.05 Å³/atom
DOS at the Fermi energy   1.228 states/eV per atom
Distance to the lowest polymorph of the same formula   0.655 eV/atom
ΔE_f   0.46 eV per atom
Symmetry   F-43m (216)

First-principles (PBE) data for a geometry-optimized CaZnAg6 structure, as listed in Alexandria via LeMat-Bulk.

Unit cell a=4.1801 b=4.1801 c=9.7311 alpha=90.00 beta=90.00 gamma=90.00
Last column: nearest neighbours and their distance in Å.
Element x y z (fractional)
Ca: 0.0000 0.0000 0.0000  8 Ag 3.24
Zn: 0.0000 0.0000 0.5000  8 Ag 2.65
Ag: 0.0000 0.5000 0.3323  2 Zn 2.65, 6 Ag 2.82-2.96
Ag: 0.0000 0.5000 0.6677  2 Zn 2.65, 6 Ag 2.82-2.96
Ag: 0.5000 0.0000 0.3323  2 Zn 2.65, 6 Ag 2.82-2.96
Ag: 0.5000 0.0000 0.6677  2 Zn 2.65, 6 Ag 2.82-2.96
Ag: 0.5000 0.5000 0.1373  5 Ag 2.67-2.82
Ag: 0.5000 0.5000 0.8627  5 Ag 2.67-2.82

Output
V   21.25 Å³/atom
DOS at the Fermi energy   0.199 states/eV per atom
ΔE_f   -0.02 eV per atom
Symmetry   P4/mmm (123)

First-principles (PBE) data for a geometry-optimized Ca2Zn2Ag structure, as listed in Alexandria via LeMat-Bulk.

Unit cell a=7.3860 b=7.3860 c=4.3985 alpha=90.00 beta=90.00 gamma=90.00
Last column: nearest neighbours and their distance in Å.
Element x y z (fractional)
Ca: 0.1785 0.3215 0.0000  6 Zn 3.02-3.16
Ca: 0.3215 0.8215 0.0000  6 Zn 3.02-3.16
Ca: 0.6785 0.1785 0.0000  6 Zn 3.02-3.16
Ca: 0.8215 0.6785 0.0000  6 Zn 3.02-3.16
Zn: 0.1229 0.6229 0.5000  1 Zn 2.57
Zn: 0.3771 0.1229 0.5000  1 Zn 2.57
Zn: 0.6229 0.8771 0.5000  1 Zn 2.57
Zn: 0.8771 0.3771 0.5000  1 Zn 2.57
Ag: 0.0000 0.0000 0.5000  4 Zn 2.93
Ag: 0.5000 0.5000 0.5000  4 Zn 2.93

Output
V   24.00 Å³/atom
DOS at the Fermi energy   0.732 states/eV per atom
Distance to the lowest polymorph of the same formula   0.039 eV/atom
ΔE_f   -0.23 eV per atom
Symmetry   P4/mbm (127)

First-principles (PBE) data for a geometry-optimized Ca2Zn6Ag structure, as listed in Alexandria via LeMat-Bulk.

Unit cell a=6.3747 b=6.3747 c=6.3747 alpha=60.04 beta=60.04 gamma=60.04
Last column: nearest neighbours and their distance in Å.
Element x y z (fractional)
Ca: 0.2502 0.2502 0.2502  12 Zn 3.20-3.21
Ca: 0.7498 0.7498 0.7498  12 Zn 3.20-3.21
Zn: 0.2092 0.7900 0.7900  1 Ag 2.62, 4 Zn 2.67-2.68
Zn: 0.2100 0.2100 0.7908  1 Ag 2.62, 4 Zn 2.67-2.68
Zn: 0.2100 0.7908 0.2100  1 Ag 2.62, 4 Zn 2.67-2.68
Zn: 0.7900 0.2092 0.7900  1 Ag 2.62, 4 Zn 2.67-2.68
Zn: 0.7900 0.7900 0.2092  1 Ag 2.62, 4 Zn 2.67-2.68
Zn: 0.7908 0.2100 0.2100  1 Ag 2.62, 4 Zn 2.67-2.68
Ag: 0.5000 0.5000 0.5000  6 Zn 2.62

Output
V   20.38 Å³/atom
DOS at the Fermi energy   0.421 states/eV per atom
ΔE_f   -0.16 eV per atom
Symmetry   R-3m (166)

First-principles (PBE) data for a geometry-optimized CaZn8Ag4 structure, as listed in Alexandria via LeMat-Bulk.

Unit cell a=7.9529 b=7.9529 c=7.9529 alpha=47.88 beta=47.88 gamma=47.88
Last column: nearest neighbours and their distance in Å.
Element x y z (fractional)
Ca: 0.0000 0.0000 0.0000  6 Zn 2.92, 6 Ag 3.23
Zn: 0.1426 0.7488 0.7488  1 Ag 2.46, 2 Zn 2.54
Zn: 0.2385 0.2385 0.2385  3 Ag 2.73, 3 Zn 2.90
Zn: 0.2512 0.2512 0.8574  1 Ag 2.46, 2 Zn 2.54
Zn: 0.2512 0.8574 0.2512  1 Ag 2.46, 2 Zn 2.54
Zn: 0.7488 0.1426 0.7488  1 Ag 2.46, 2 Zn 2.54
Zn: 0.7488 0.7488 0.1426  1 Ag 2.46, 2 Zn 2.54
Zn: 0.7615 0.7615 0.7615  3 Ag 2.73, 3 Zn 2.90
Zn: 0.8574 0.2512 0.2512  1 Ag 2.46, 2 Zn 2.54
Ag: 0.0000 0.5000 0.5000  2 Zn 2.73
Ag: 0.5000 0.0000 0.5000  2 Zn 2.73
Ag: 0.5000 0.5000 0.0000  2 Zn 2.73
Ag: 0.5000 0.5000 0.5000  6 Zn 2.46

Output
V   19.49 Å³/atom
DOS at the Fermi energy   0.253 states/eV per atom
Distance to the lowest polymorph of the same formula   0.236 eV/atom
ΔE_f   0.15 eV per atom
Symmetry   R-3m (166)